#w
Compound: SmY2
Source: Alexandria
Functional: PBE-GGA
Structure: optimized geometry

Results
The density of states at the Fermi level is 15.49 states/eV/cell. Its space-group type is Fd-3m. The calculation puts the volume at 209.0 Å³/cell.

Unit cell a=6.661 b=6.661 c=6.661 alpha=60.00 beta=60.00 gamma=60.00
Element x y z (fractional)
Sm  0.125  0.125  0.125
Sm  0.875  0.875  0.875
Y  0.000  0.500  0.500
Y  0.500  0.000  0.500
Y  0.500  0.500  0.000
Y  0.500  0.500  0.500

---

#x
Compound: SmY2
Source: Alexandria
Functional: PBE-GGA
Structure: optimized geometry

Results
The density of states at the Fermi level is 3.92 states/eV/cell. Its space-group type is C2/m. The calculation puts the volume at 98.3 Å³/cell.

Unit cell a=3.620 b=3.620 c=8.908 alpha=101.79 beta=101.79 gamma=60.02
Element x y z (fractional)
Sm  0.000  0.000  0.000
Y  0.221  0.221  0.665
Y  0.779  0.779  0.335

---

Of them, the most stable is #x and the least stable is #w.

---

#w
Compound: Sm6Y
Source: Alexandria
Functional: PBE-GGA
Structure: optimized geometry

Results
The density of states at the Fermi level is 5.60 states/eV/cell. Its space-group type is Im-3m. The calculation puts the volume at 264.7 Å³/cell.

Unit cell a=7.005 b=7.005 c=7.005 alpha=109.47 beta=109.47 gamma=109.47
Element x y z (fractional)
Sm  0.250  0.500  0.750
Sm  0.250  0.750  0.500
Sm  0.500  0.250  0.750
Sm  0.500  0.750  0.250
Sm  0.750  0.250  0.500
Sm  0.750  0.500  0.250
Y  0.000  0.000  0.000

---

#x
Compound: Sm6Y
Source: Alexandria
Functional: PBE-GGA
Structure: optimized geometry

Results
The density of states at the Fermi level is 17.77 states/eV/cell. Its space-group type is P4/nbm. The calculation puts the volume at 484.8 Å³/cell.

Unit cell a=6.577 b=6.577 c=11.208 alpha=90.00 beta=90.00 gamma=90.00
Element x y z (fractional)
Sm  0.082  0.582  0.139
Sm  0.082  0.918  0.861
Sm  0.250  0.250  0.362
Sm  0.250  0.250  0.638
Sm  0.418  0.582  0.861
Sm  0.418  0.918  0.139
Sm  0.582  0.082  0.861
Sm  0.582  0.418  0.139
Sm  0.750  0.750  0.362
Sm  0.750  0.750  0.638
Sm  0.918  0.082  0.139
Sm  0.918  0.418  0.861
Y  0.250  0.750  0.500
Y  0.750  0.250  0.500

---

Of them, the most stable is #x and the least stable is #w.

---

#w
Compound: Sm2Y7
Source: Alexandria
Functional: PBE-GGA
Structure: optimized geometry

Results
The density of states at the Fermi level is 14.19 states/eV/cell. Its space-group type is P-31m. The calculation puts the volume at 292.8 Å³/cell.

Unit cell a=6.208 b=6.208 c=8.773 alpha=90.00 beta=90.00 gamma=120.00
Element x y z (fractional)
Sm  0.333  0.667  0.000
Sm  0.667  0.333  0.000
Y  0.000  0.000  0.000
Y  0.000  0.333  0.666
Y  0.000  0.667  0.334
Y  0.333  0.000  0.666
Y  0.333  0.333  0.334
Y  0.667  0.000  0.334
Y  0.667  0.667  0.666

---

#x
Compound: Sm2Y7
Source: Alexandria
Functional: PBE-GGA
Structure: optimized geometry

Results
The density of states at the Fermi level is 16.60 states/eV/cell. Its space-group type is P-62m. The calculation puts the volume at 296.2 Å³/cell.

Unit cell a=9.748 b=9.748 c=3.599 alpha=90.00 beta=90.00 gamma=120.00
Element x y z (fractional)
Sm  0.333  0.667  0.000
Sm  0.667  0.333  0.000
Y  0.000  0.000  0.500
Y  0.000  0.306  0.000
Y  0.000  0.641  0.500
Y  0.306  0.000  0.000
Y  0.359  0.359  0.500
Y  0.641  0.000  0.500
Y  0.694  0.694  0.000

---

Of them, the most stable is #w and the least stable is #x.

---

#w
Compound: Sm5Y4
Source: Alexandria
Functional: PBE-GGA
Structure: optimized geometry

Results
The density of states at the Fermi level is 13.30 states/eV/cell. Its space-group type is C2/m. The calculation puts the volume at 297.3 Å³/cell.

Unit cell a=8.055 b=8.055 c=5.085 alpha=108.33 beta=108.33 gamma=84.29
Element x y z (fractional)
Sm  0.000  0.000  0.000
Sm  0.333  0.333  0.333
Sm  0.333  0.667  0.000
Sm  0.667  0.333  0.000
Sm  0.667  0.667  0.667
Y  0.000  0.333  0.667
Y  0.000  0.667  0.333
Y  0.333  0.000  0.667
Y  0.667  0.000  0.333

---

#x
Compound: Sm5Y4
Source: Alexandria
Functional: PBE-GGA
Structure: optimized geometry

Results
The density of states at the Fermi level is 30.08 states/eV/cell. Its space-group type is P6_3/mcm. The calculation puts the volume at 596.7 Å³/cell.

Unit cell a=9.855 b=9.855 c=7.093 alpha=90.00 beta=90.00 gamma=120.00
Element x y z (fractional)
Sm  0.000  0.316  0.250
Sm  0.000  0.684  0.750
Sm  0.316  0.000  0.250
Sm  0.316  0.316  0.750
Sm  0.333  0.667  0.000
Sm  0.333  0.667  0.500
Sm  0.667  0.333  0.000
Sm  0.667  0.333  0.500
Sm  0.684  0.000  0.750
Sm  0.684  0.684  0.250
Y  0.000  0.000  0.000
Y  0.000  0.000  0.500
Y  0.000  0.347  0.750
Y  0.000  0.653  0.250
Y  0.347  0.000  0.750
Y  0.347  0.347  0.250
Y  0.653  0.000  0.250
Y  0.653  0.653  0.750

---

Of them, the most stable is #w and the least stable is #x.

---

#w
Compound: Sm2Y2Zn
Source: Alexandria
Functional: PBE-GGA
Structure: optimized geometry

Results
The density of states at the Fermi level is 6.17 states/eV/cell. Its space-group type is I4/mmm. The calculation puts the volume at 146.2 Å³/cell.

Unit cell a=11.635 b=11.635 c=11.635 alpha=162.26 beta=162.26 gamma=25.19
Element x y z (fractional)
Sm  0.193  0.193  0.000
Sm  0.807  0.807  0.000
Y  0.422  0.422  0.000
Y  0.578  0.578  0.000
Zn  0.000  0.000  0.000

---

#x
Compound: Sm2Y2Zn
Source: Alexandria
Functional: PBE-GGA
Structure: optimized geometry

Results
The density of states at the Fermi level is 11.04 states/eV/cell. Its space-group type is C2/m. The calculation puts the volume at 293.7 Å³/cell.

Unit cell a=6.357 b=6.357 c=8.197 alpha=106.58 beta=106.58 gamma=99.10
Element x y z (fractional)
Sm  0.164  0.164  0.413
Sm  0.272  0.272  0.875
Sm  0.728  0.728  0.125
Sm  0.836  0.836  0.587
Y  0.240  0.619  0.264
Y  0.381  0.760  0.736
Y  0.619  0.240  0.264
Y  0.760  0.381  0.736
Zn  0.142  0.858  0.000
Zn  0.858  0.142  0.000

---

Of them, the most stable is #w and the least stable is #x.

---

#w
Compound: Sm3YZn2
Source: Alexandria
Functional: PBE-GGA
Structure: optimized geometry

Results
The density of states at the Fermi level is 7.03 states/eV/cell. Its space-group type is Pmc2_1. The calculation puts the volume at 323.8 Å³/cell.

Unit cell a=5.131 b=9.274 c=6.806 alpha=90.00 beta=90.00 gamma=90.00
Element x y z (fractional)
Sm  0.000  0.058  0.000
Sm  0.000  0.330  0.341
Sm  0.000  0.670  0.841
Sm  0.000  0.942  0.500
Sm  0.500  0.174  0.679
Sm  0.500  0.826  0.179
Y  0.500  0.444  0.025
Y  0.500  0.556  0.525
Zn  0.000  0.350  0.789
Zn  0.000  0.650  0.289
Zn  0.500  0.153  0.234
Zn  0.500  0.847  0.734

---

#x
Compound: Sm3YZn2
Source: Alexandria
Functional: PBE-GGA
Structure: optimized geometry

Results
The density of states at the Fermi level is 19.90 states/eV/cell. Its space-group type is Ibam. The calculation puts the volume at 368.0 Å³/cell.

Unit cell a=8.817 b=8.817 c=8.817 alpha=133.39 beta=69.86 gamma=131.09
Element x y z (fractional)
Sm  0.022  0.750  0.272
Sm  0.250  0.250  0.000
Sm  0.478  0.750  0.728
Sm  0.522  0.250  0.272
Sm  0.750  0.750  0.000
Sm  0.978  0.250  0.728
Y  0.000  0.500  0.500
Y  0.500  0.000  0.500
Zn  0.138  0.205  0.343
Zn  0.362  0.705  0.068
Zn  0.638  0.295  0.932
Zn  0.862  0.795  0.657

---

Of them, the most stable is #w and the least stable is #x.